# CrTcF2 PBE+U optimized geometry
# Excess energy over the best structure of this formula in the dataset   0.0000 eV per atom
# Calculated total energy   -24.96 eV per formula unit
# ρ   5.95 g/cm³
data_CrTcF2
_cell_length_a 2.8492
_cell_length_b 2.8492
_cell_length_c 22.3816
_cell_angle_alpha 90.00
_cell_angle_beta 90.00
_cell_angle_gamma 120.00
_space_group_name_H-M_alt 'R -3 m'
_space_group_IT_number 166
_space_group_name_Hall '-R 3 2"'
loop_
_atom_site_label
_atom_site_type_symbol
_atom_site_fract_x
_atom_site_fract_y
_atom_site_fract_z
Cr1 Cr 0.0000 0.0000 0.0000
Tc1 Tc 0.0000 0.0000 0.5000
F1 F 0.0000 0.0000 0.4064